# 1
NiSe after structural relaxation, computed with PBE.

Geometry as CIF:
```
data_NiSe
_cell_length_a 3.907
_cell_length_b 3.907
_cell_length_c 10.496
_cell_angle_alpha 90.00
_cell_angle_beta 90.00
_cell_angle_gamma 120.00
_space_group_name_H-M_alt 'P 1'
_space_group_IT_number 1
loop_
_space_group_symop_operation_xyz
'x,y,z'
loop_
_atom_site_label
_atom_site_type_symbol
_atom_site_fract_x
_atom_site_fract_y
_atom_site_fract_z
Ni1 Ni 0.000 0.000 0.250
Ni2 Ni 0.000 0.000 0.750
Ni3 Ni 0.333 0.667 0.250
Ni4 Ni 0.667 0.333 0.750
Se1 Se 0.333 0.667 0.615
Se2 Se 0.333 0.667 0.885
Se3 Se 0.667 0.333 0.115
Se4 Se 0.667 0.333 0.385
```

Values from the calculation:
E_form (uncorrected), eV per formula unit: 0.4
Size of the total moment, μB/cell: 1.4
Fermi-level density of states, states/eV/cell: 10.39
Space-group type: P6_3/mmc

=====

# 2
CdInW2 after structural relaxation, computed with PBE.

Geometry as CIF:
```
data_CdInW2
_cell_length_a 5.647
_cell_length_b 9.507
_cell_length_c 2.825
_cell_angle_alpha 90.00
_cell_angle_beta 106.86
_cell_angle_gamma 90.00
_space_group_name_H-M_alt 'P 1'
_space_group_IT_number 1
loop_
_space_group_symop_operation_xyz
'x,y,z'
loop_
_atom_site_label
_atom_site_type_symbol
_atom_site_fract_x
_atom_site_fract_y
_atom_site_fract_z
Cd1 Cd 0.000 0.000 0.000
Cd2 Cd 0.500 0.500 0.000
In1 In 0.000 0.500 0.000
In2 In 0.500 0.000 0.000
W1 W 0.250 0.250 0.500
W2 W 0.250 0.750 0.500
W3 W 0.750 0.250 0.500
W4 W 0.750 0.750 0.500
```

Values from the calculation:
Size of the total moment, μB/cell: 0.0
Fermi-level density of states, states/eV/cell: 5.58
Space-group type: C2/m
Energy above the most stable polymorph in this dataset, meV per atom: 248